! PBE Pr3Mg5Pd2, relaxed; values from VASP
&SYSTEM
  ibrav = 0, nat = 20, ntyp = 3
/
ATOMIC_SPECIES
Pr 140.91 Pr.upf
Mg 24.30 Mg.upf
Pd 106.42 Pd.upf
CELL_PARAMETERS angstrom
4.351 0.000 0.000
0.000 10.670 0.000
0.000 0.000 10.670
ATOMIC_POSITIONS crystal
Pr 0.000 0.322 0.822
Pr 0.000 0.678 0.178
Pr 0.000 0.178 0.322
Pr 0.000 0.822 0.678
Pr 0.000 0.000 0.000
Pr 0.000 0.500 0.500
Mg 0.500 0.225 0.066
Mg 0.500 0.775 0.934
Mg 0.500 0.934 0.225
Mg 0.500 0.066 0.775
Mg 0.500 0.275 0.566
Mg 0.500 0.725 0.434
Mg 0.500 0.566 0.725
Mg 0.500 0.434 0.275
Mg 0.500 0.000 0.500
Mg 0.500 0.500 0.000
Pd 0.000 0.116 0.616
Pd 0.000 0.884 0.384
Pd 0.000 0.384 0.116
Pd 0.000 0.616 0.884
! Formation enthalpy at 0 K, eV per atom: -0.40
! VASP energy, eV per atom: -3.671
! Distance to the lowest polymorph of the same formula, kcal/mol of atoms: 0.00